Zn5NiPt4: relaxed, PBE-GGA.

Cell: 2.8655 2.8655 17.2549 Å, 90.00 90.00 90.00°
Last column: nearest neighbours and their distance in Å.
Fractional positions:
Zn 0.0000 0.0000 0.0000  8 Pt 2.70, 4 Zn 2.87
Zn 0.0000 0.0000 0.2069  8 Pt 2.70, 4 Zn 2.87
Zn 0.0000 0.0000 0.4122  4 Ni 2.53, 4 Pt 2.68
Zn 0.0000 0.0000 0.5878  4 Ni 2.53, 4 Pt 2.68
Zn 0.0000 0.0000 0.7931  8 Pt 2.70, 4 Zn 2.87
Ni 0.5000 0.5000 0.5000  8 Zn 2.53
Pt 0.5000 0.5000 0.1033  8 Zn 2.70, 4 Pt 2.87
Pt 0.5000 0.5000 0.3102  8 Zn 2.68-2.70, 4 Pt 2.87
Pt 0.5000 0.5000 0.6898  8 Zn 2.68-2.70, 4 Pt 2.87
Pt 0.5000 0.5000 0.8967  8 Zn 2.70, 4 Pt 2.87

Calculated values
Crystal system: tetragonal
Total DFT energy (no corrections) (eV/atom): -4.13
ΔH_f (0 K) (eV/atom): -0.4952
Symmetry: P4/mmm

LuMg2Pd: relaxed, PBE-GGA.

Cell: 4.0961 4.0961 4.9499 Å, 90.00 90.00 90.00°
Last column: nearest neighbours and their distance in Å.
Fractional positions:
Lu 0.0000 0.0000 0.0000  4 Pd 2.90, 8 Mg 3.21
Mg 0.0000 0.5000 0.5000  4 Mg 2.90, 4 Pd 3.21, 4 Lu 3.21
Mg 0.5000 0.0000 0.5000  4 Mg 2.90, 4 Pd 3.21, 4 Lu 3.21
Pd 0.5000 0.5000 0.0000  4 Lu 2.90, 8 Mg 3.21

Calculated values
Crystal system: tetragonal
Total DFT energy (no corrections) (eV/atom): -3.62
ΔH_f (0 K) (eV/atom): -0.3923
Symmetry: P4/mmm

Zr2BeZn: relaxed, PBE-GGA.

Cell: 5.2492 5.2492 5.2492 Å, 135.69 135.69 64.46°
Last column: nearest neighbours and their distance in Å.
Fractional positions:
Zr 0.0000 0.0000 0.0000  4 Zn 2.80, 4 Zr 2.97, 4 Be 2.97
Zr 0.7500 0.2500 0.5000  4 Be 2.80, 4 Zn 2.97, 4 Zr 2.97
Be 0.2500 0.7500 0.5000  8 Zr 2.80-2.97, 4 Zn 2.97
Zn 0.5000 0.5000 0.0000  8 Zr 2.80-2.97, 4 Be 2.97

Calculated values
Crystal system: tetragonal
Total DFT energy (no corrections) (eV/atom): -5.51
ΔH_f (0 K) (eV/atom): 0.0098
Symmetry: I-4m2